Compound: RbNbAlPt2
Source: the Alexandria database
Functional: meta-GGA SCAN
Structure: single point on PBEsol structure

It has space group P4/mmm (No. 123), with a = 4.940 Å, b = 4.940 Å, c = 5.170 Å, α = 90.00°, β = 90.00° and γ = 90.00°. Symmetry generates all atoms from Rb at (0.000, 0.000, 0.000), Nb at (0.500, 0.500, 0.500), Al at (0.500, 0.500, 0.000) and Pt at (0.000, 0.500, 0.500).

The crystal system is tetragonal. The calculation puts the uncorrected energy at -39.98 eV/atom.

---

Compound: MgTaIr2
Source: the Alexandria database
Functional: meta-GGA SCAN
Structure: single point on PBEsol structure

It has space group Fm-3m (No. 225), with a = 6.260 Å, b = 6.260 Å, c = 6.260 Å, α = 90.00°, β = 90.00° and γ = 90.00°. Symmetry generates all atoms from Mg at (0.000, 0.000, 0.000), Ta at (0.000, 0.000, 0.500) and Ir at (0.250, 0.250, 0.250).

The calculation puts the energy above the most stable polymorph in this dataset at 84 meV per atom. The crystal system is cubic.

---

Compound: MnGaBi3
Source: the Alexandria database
Functional: meta-GGA SCAN
Structure: single point on PBEsol structure

It has space group Pm-3m (No. 221), with a = 5.187 Å, b = 5.187 Å, c = 5.187 Å, α = 90.00°, β = 90.00° and γ = 90.00°. Symmetry generates all atoms from Mn at (0.000, 0.000, 0.000), Ga at (0.500, 0.500, 0.500) and Bi at (0.000, 0.000, 0.500).

The crystal system is cubic. The calculation puts the uncorrected energy at -53.62 eV/atom.

---

Compound: Ho2GaRu
Source: the Alexandria database
Functional: meta-GGA SCAN
Structure: single point on PBEsol structure

It has space group P4/mmm (No. 123), with a = 3.418 Å, b = 3.418 Å, c = 6.859 Å, α = 90.00°, β = 90.00° and γ = 90.00°. Symmetry generates all atoms from Ho at (0.000, 0.000, 0.233), Ga at (0.500, 0.500, 0.500) and Ru at (0.500, 0.500, 0.000).

The crystal system is tetragonal. The calculation puts the uncorrected energy at -37.93 eV/atom.

---

Compound: MgZrTl2
Source: the Alexandria database
Functional: meta-GGA SCAN
Structure: single point on PBEsol structure

It has space group Cmmm (No. 65), with a = 6.464 Å, b = 8.539 Å, c = 3.231 Å, α = 90.00°, β = 90.00° and γ = 90.00°. Symmetry generates all atoms from Mg at (0.000, 0.000, 0.000), Zr at (0.000, 0.500, 0.000) and Tl at (0.250, 0.250, 0.500).

The crystal system is orthorhombic. The calculation puts the uncorrected energy at -45.27 eV/atom.

---

Compound: SrLi2Fe
Source: the Alexandria database
Functional: meta-GGA SCAN
Structure: single point on PBEsol structure

It has space group R3m (No. 160, hexagonal axes), with a = 3.3397 Å, b = 3.3397 Å, c = 28.8211 Å, α = 90.00°, β = 90.00° and γ = 120.00°. Symmetry generates all atoms from Sr at (0.0000, 0.0000, 0.0000), Li at (0.0000, 0.0000, 0.2283), Li at (0.0000, 0.0000, 0.4790) and Fe at (0.0000, 0.0000, 0.7478).

The calculation puts the energy above the most stable polymorph in this dataset at 161 meV per atom. The crystal system is trigonal.

---

Compound: KZr2Fe
Source: the Alexandria database
Functional: meta-GGA SCAN
Structure: single point on PBEsol structure

It has space group Pmm2 (No. 25), with a = 3.400 Å, b = 3.565 Å, c = 8.702 Å, α = 90.00°, β = 90.00° and γ = 90.00°. Symmetry generates all atoms from K at (0.000, 0.000, 0.000), Zr at (0.000, 0.000, 0.602), Zr at (0.500, 0.500, 0.375) and Fe at (0.500, 0.500, 0.651).

The crystal system is orthorhombic. The calculation puts the uncorrected energy at -21.44 eV/atom.

---

Compound: KAg2Ir
Source: the Alexandria database
Functional: meta-GGA SCAN
Structure: single point on PBEsol structure

It has space group Cm (No. 8), with a = 9.476 Å, b = 2.682 Å, c = 6.649 Å, α = 90.00°, β = 95.00° and γ = 90.00°. Symmetry generates all atoms from K at (0.000, 0.000, 0.000), Ag at (0.236, 0.000, 0.674), Ag at (0.498, 0.000, 0.471) and Ir at (0.260, 0.500, 0.320).

The calculation puts the energy above the most stable polymorph in this dataset at 38 meV per atom. The crystal system is monoclinic.

---

Compound: ZrTcPb2
Source: the Alexandria database
Functional: meta-GGA SCAN
Structure: single point on PBEsol structure

It has space group Fm-3m (No. 225), with a = 6.858 Å, b = 6.858 Å, c = 6.858 Å, α = 90.00°, β = 90.00° and γ = 90.00°. Symmetry generates all atoms from Zr at (0.000, 0.000, 0.000), Tc at (0.000, 0.000, 0.500) and Pb at (0.250, 0.250, 0.250).

The calculation puts the energy above the most stable polymorph in this dataset at 78 meV per atom. The crystal system is cubic.

---

Compound: Te2RhW
Source: the Alexandria database
Functional: meta-GGA SCAN
Structure: single point on PBEsol structure

It has space group Cm (No. 8), with a = 9.681 Å, b = 3.384 Å, c = 4.637 Å, α = 90.00°, β = 101.66° and γ = 90.00°. Symmetry generates all atoms from Te at (0.000, 0.000, 0.000), Te at (0.241, 0.000, 0.588), Rh at (0.244, 0.500, 0.101) and W at (0.011, 0.500, 0.464).

The calculation puts the energy above the most stable polymorph in this dataset at 75 meV per atom. The crystal system is monoclinic.

---

Compound: Mg2NiOs
Source: the Alexandria database
Functional: meta-GGA SCAN
Structure: single point on PBEsol structure

It has space group Pmm2 (No. 25), with a = 2.662 Å, b = 4.027 Å, c = 5.445 Å, α = 90.00°, β = 90.00° and γ = 90.00°. Symmetry generates all atoms from Mg at (0.000, 0.000, 0.000), Mg at (0.500, 0.500, 0.289), Ni at (0.000, 0.000, 0.533) and Os at (0.500, 0.500, 0.765).

The calculation puts the energy above the most stable polymorph in this dataset at 0 meV per atom. The crystal system is orthorhombic.

---

Compound: KMoAs2
Source: the Alexandria database
Functional: meta-GGA SCAN
Structure: single point on PBEsol structure

It has space group Fm-3m (No. 225), with a = 6.706 Å, b = 6.706 Å, c = 6.706 Å, α = 90.00°, β = 90.00° and γ = 90.00°. Symmetry generates all atoms from K at (0.000, 0.000, 0.000), Mo at (0.000, 0.000, 0.500) and As at (0.250, 0.250, 0.250).

The crystal system is cubic. The calculation puts the uncorrected energy at -20.53 eV/atom.

---

What did the seventh record say?
Compound: KZr2Fe
Source: the Alexandria database
Functional: meta-GGA SCAN
Structure: single point on PBEsol structure

It has space group Pmm2 (No. 25), with a = 3.400 Å, b = 3.565 Å, c = 8.702 Å, α = 90.00°, β = 90.00° and γ = 90.00°. Symmetry generates all atoms from K at (0.000, 0.000, 0.000), Zr at (0.000, 0.000, 0.602), Zr at (0.500, 0.500, 0.375) and Fe at (0.500, 0.500, 0.651).

The crystal system is orthorhombic. The calculation puts the uncorrected energy at -21.44 eV/atom.